P.
A plane-wave DFT calculation with PBE was carried out for an optimized crystal structure of CrSiH2.

Fermi-level density of states in states/eV per atom: 0.13
Magnetization in μB/f.u.: 1.951

Cell lengths 3.530, 3.530, 10.935 Å; angles 90.00, 90.00, 90.00 degrees
Positions (direct):
Cr 0.000 0.000 0.000
Cr 0.000 0.500 0.250
Cr 0.500 0.000 0.750
Cr 0.500 0.500 0.500
Si 0.000 0.000 0.500
Si 0.000 0.500 0.750
Si 0.500 0.000 0.250
Si 0.500 0.500 0.000
H 0.189 0.250 0.125
H 0.250 0.689 0.375
H 0.250 0.811 0.875
H 0.311 0.250 0.625
H 0.689 0.750 0.625
H 0.750 0.189 0.875
H 0.750 0.311 0.375
H 0.811 0.750 0.125

***

Q.
A plane-wave DFT calculation with PBE was carried out for an optimized crystal structure of CrSiH2.

Fermi-level density of states in states/eV per atom: 0.55
Magnetization in μB/f.u.: 2.400

Cell lengths 5.107, 5.107, 5.107 Å; angles 90.00, 90.00, 90.00 degrees
Positions (direct):
Cr 0.000 0.000 0.000
Cr 0.000 0.500 0.500
Cr 0.500 0.000 0.500
Cr 0.500 0.500 0.000
Si 0.000 0.000 0.500
Si 0.000 0.500 0.000
Si 0.500 0.000 0.000
Si 0.500 0.500 0.500
H 0.250 0.250 0.250
H 0.250 0.250 0.750
H 0.250 0.750 0.250
H 0.250 0.750 0.750
H 0.750 0.250 0.250
H 0.750 0.250 0.750
H 0.750 0.750 0.250
H 0.750 0.750 0.750

***

Most stable one: P, least stable one: Q.

***

P.
A plane-wave DFT calculation with PBE was carried out for an optimized crystal structure of Cr2SiH.

Fermi-level density of states in states/eV per atom: 1.11
Magnetization in μB/f.u.: 0.001

Cell lengths 4.385, 4.385, 9.382 Å; angles 90.00, 90.00, 90.00 degrees
Positions (direct):
Cr 0.000 0.000 0.000
Cr 0.000 0.500 0.000
Cr 0.250 0.250 0.750
Cr 0.250 0.750 0.250
Cr 0.500 0.000 0.500
Cr 0.500 0.500 0.500
Cr 0.750 0.250 0.750
Cr 0.750 0.750 0.250
Si 0.000 0.250 0.375
Si 0.000 0.750 0.625
Si 0.500 0.250 0.125
Si 0.500 0.750 0.875
H 0.000 0.250 0.875
H 0.000 0.750 0.125
H 0.500 0.250 0.625
H 0.500 0.750 0.375

***

Q.
A plane-wave DFT calculation with PBE was carried out for an optimized crystal structure of Cr2SiH.

Fermi-level density of states in states/eV per atom: 0.98
Magnetization in μB/f.u.: 4.186

Cell lengths 5.613, 5.613, 5.613 Å; angles 90.00, 90.00, 90.00 degrees
Positions (direct):
Cr 0.250 0.250 0.250
Cr 0.250 0.250 0.750
Cr 0.250 0.750 0.250
Cr 0.250 0.750 0.750
Cr 0.750 0.250 0.250
Cr 0.750 0.250 0.750
Cr 0.750 0.750 0.250
Cr 0.750 0.750 0.750
Si 0.000 0.000 0.000
Si 0.000 0.500 0.500
Si 0.500 0.000 0.500
Si 0.500 0.500 0.000
H 0.000 0.000 0.500
H 0.000 0.500 0.000
H 0.500 0.000 0.000
H 0.500 0.500 0.500

***

R.
A plane-wave DFT calculation with PBE was carried out for an optimized crystal structure of Cr2SiH.

Fermi-level density of states in states/eV per atom: 0.84
Magnetization in μB/f.u.: 0.000

Cell lengths 2.682, 2.682, 18.173 Å; angles 90.00, 90.00, 120.00 degrees
Positions (direct):
Cr 0.000 0.000 0.223
Cr 0.000 0.000 0.777
Cr 0.333 0.667 0.443
Cr 0.333 0.667 0.890
Cr 0.667 0.333 0.110
Cr 0.667 0.333 0.557
Si 0.000 0.000 0.000
Si 0.333 0.667 0.667
Si 0.667 0.333 0.333
H 0.000 0.000 0.500
H 0.333 0.667 0.167
H 0.667 0.333 0.833

***

Most stable one: R, least stable one: P.

***

P.
A plane-wave DFT calculation with PBE was carried out for an optimized crystal structure of CrSnH2.

Fermi-level density of states in states/eV per atom: 0.71
Magnetization in μB/f.u.: 3.801

Cell lengths 5.721, 5.721, 5.721 Å; angles 90.00, 90.00, 90.00 degrees
Positions (direct):
Cr 0.000 0.000 0.000
Cr 0.000 0.500 0.500
Cr 0.500 0.000 0.500
Cr 0.500 0.500 0.000
Sn 0.000 0.000 0.500
Sn 0.000 0.500 0.000
Sn 0.500 0.000 0.000
Sn 0.500 0.500 0.500
H 0.250 0.250 0.250
H 0.250 0.250 0.750
H 0.250 0.750 0.250
H 0.250 0.750 0.750
H 0.750 0.250 0.250
H 0.750 0.250 0.750
H 0.750 0.750 0.250
H 0.750 0.750 0.750

***

Q.
A plane-wave DFT calculation with PBE was carried out for an optimized crystal structure of CrSnH2.

Fermi-level density of states in states/eV per atom: 0.42
Magnetization in μB/f.u.: 3.145

Cell lengths 4.589, 4.589, 9.456 Å; angles 90.00, 90.00, 90.00 degrees
Positions (direct):
Cr 0.000 0.000 0.000
Cr 0.000 0.500 0.250
Cr 0.500 0.000 0.750
Cr 0.500 0.500 0.500
Sn 0.000 0.000 0.500
Sn 0.000 0.500 0.750
Sn 0.500 0.000 0.250
Sn 0.500 0.500 0.000
H 0.088 0.250 0.125
H 0.250 0.588 0.375
H 0.250 0.912 0.875
H 0.412 0.250 0.625
H 0.588 0.750 0.625
H 0.750 0.088 0.875
H 0.750 0.412 0.375
H 0.912 0.750 0.125

***

Most stable one: Q, least stable one: P.

***

P.
A plane-wave DFT calculation with PBE was carried out for an optimized crystal structure of CrSn2H.

Fermi-level density of states in states/eV per atom: 0.54
Magnetization in μB/f.u.: 4.508

Cell lengths 6.614, 6.614, 6.614 Å; angles 90.00, 90.00, 90.00 degrees
Positions (direct):
Cr 0.000 0.000 0.000
Cr 0.000 0.500 0.500
Cr 0.500 0.000 0.500
Cr 0.500 0.500 0.000
Sn 0.250 0.250 0.250
Sn 0.250 0.250 0.750
Sn 0.250 0.750 0.250
Sn 0.250 0.750 0.750
Sn 0.750 0.250 0.250
Sn 0.750 0.250 0.750
Sn 0.750 0.750 0.250
Sn 0.750 0.750 0.750
H 0.000 0.000 0.500
H 0.000 0.500 0.000
H 0.500 0.000 0.000
H 0.500 0.500 0.500

***

Q.
A plane-wave DFT calculation with PBE was carried out for an optimized crystal structure of CrSn2H.

Fermi-level density of states in states/eV per atom: 0.32
Magnetization in μB/f.u.: 3.024

Cell lengths 6.544, 6.544, 6.501 Å; angles 90.00, 90.00, 90.00 degrees
Positions (direct):
Cr 0.000 0.000 0.000
Cr 0.000 0.500 0.250
Cr 0.500 0.000 0.750
Cr 0.500 0.500 0.500
Sn 0.178 0.750 0.625
Sn 0.250 0.178 0.375
Sn 0.250 0.322 0.875
Sn 0.322 0.750 0.125
Sn 0.678 0.250 0.125
Sn 0.750 0.678 0.875
Sn 0.750 0.822 0.375
Sn 0.822 0.250 0.625
H 0.000 0.000 0.500
H 0.000 0.500 0.750
H 0.500 0.000 0.250
H 0.500 0.500 0.000

***

Most stable one: Q, least stable one: P.

***

P.
A plane-wave DFT calculation with PBE was carried out for an optimized crystal structure of SrCrH2.

Fermi-level density of states in states/eV per atom: 0.89
Magnetization in μB/f.u.: 0.000

Cell lengths 5.277, 5.277, 7.279 Å; angles 90.00, 90.00, 90.00 degrees
Positions (direct):
Sr 0.000 0.000 0.000
Sr 0.000 0.500 0.250
Sr 0.500 0.000 0.750
Sr 0.500 0.500 0.500
Cr 0.000 0.000 0.500
Cr 0.000 0.500 0.750
Cr 0.500 0.000 0.250
Cr 0.500 0.500 0.000
H 0.138 0.250 0.625
H 0.250 0.638 0.875
H 0.250 0.862 0.375
H 0.362 0.250 0.125
H 0.638 0.750 0.125
H 0.750 0.138 0.375
H 0.750 0.362 0.875
H 0.862 0.750 0.625

***

Q.
A plane-wave DFT calculation with PBE was carried out for an optimized crystal structure of SrCrH2.

Fermi-level density of states in states/eV per atom: 0.30
Magnetization in μB/f.u.: 5.274

Cell lengths 6.304, 6.304, 6.304 Å; angles 90.00, 90.00, 90.00 degrees
Positions (direct):
Sr 0.000 0.000 0.000
Sr 0.000 0.500 0.500
Sr 0.500 0.000 0.500
Sr 0.500 0.500 0.000
Cr 0.000 0.000 0.500
Cr 0.000 0.500 0.000
Cr 0.500 0.000 0.000
Cr 0.500 0.500 0.500
H 0.250 0.250 0.250
H 0.250 0.250 0.750
H 0.250 0.750 0.250
H 0.250 0.750 0.750
H 0.750 0.250 0.250
H 0.750 0.250 0.750
H 0.750 0.750 0.250
H 0.750 0.750 0.750

***

Most stable one: P, least stable one: Q.

***

P.
A plane-wave DFT calculation with PBE was carried out for an optimized crystal structure of SrCr2H.

Fermi-level density of states in states/eV per atom: 0.68
Magnetization in μB/f.u.: 9.638

Cell lengths 7.204, 7.204, 7.204 Å; angles 90.00, 90.00, 90.00 degrees
Positions (direct):
Sr 0.000 0.000 0.000
Sr 0.000 0.500 0.500
Sr 0.500 0.000 0.500
Sr 0.500 0.500 0.000
Cr 0.250 0.250 0.250
Cr 0.250 0.250 0.750
Cr 0.250 0.750 0.250
Cr 0.250 0.750 0.750
Cr 0.750 0.250 0.250
Cr 0.750 0.250 0.750
Cr 0.750 0.750 0.250
Cr 0.750 0.750 0.750
H 0.000 0.000 0.500
H 0.000 0.500 0.000
H 0.500 0.000 0.000
H 0.500 0.500 0.500

***

Q.
A plane-wave DFT calculation with PBE was carried out for an optimized crystal structure of SrCr2H.

Fermi-level density of states in states/eV per atom: 0.98
Magnetization in μB/f.u.: 1.374

Cell lengths 5.578, 5.578, 7.908 Å; angles 90.00, 90.00, 90.00 degrees
Positions (direct):
Sr 0.000 0.250 0.375
Sr 0.000 0.750 0.625
Sr 0.500 0.250 0.125
Sr 0.500 0.750 0.875
Cr 0.000 0.000 0.000
Cr 0.000 0.500 0.000
Cr 0.250 0.250 0.750
Cr 0.250 0.750 0.250
Cr 0.500 0.000 0.500
Cr 0.500 0.500 0.500
Cr 0.750 0.250 0.750
Cr 0.750 0.750 0.250
H 0.000 0.250 0.875
H 0.000 0.750 0.125
H 0.500 0.250 0.625
H 0.500 0.750 0.375

***

Most stable one: Q, least stable one: P.